Record 1
A geometry-optimized InTe3W structure, computed with GGA-PBE.

Relative energy among the computed polymorphs (meV per atom): 0
E_form (uncorrected) (eV per atom): 0.409
Total magnetization (Bohr magnetons per cell): 0.00

```
5
Lattice="5.3896 0.0000 0.0000 0.0000 5.3896 0.0000 0.0000 0.0000 5.3896" Properties=species:S:1:pos:R:3 pbc="T T T"
In 0.0000 0.0000 0.0000
Te 0.0000 2.6948 2.6948
Te 2.6948 0.0000 2.6948
Te 2.6948 2.6948 0.0000
W 2.6948 2.6948 2.6948
```


Record 2
A geometry-optimized CsNp2Se2S structure, computed with GGA-PBE.

E_form (uncorrected) (eV per atom): -1.025
Total magnetization (Bohr magnetons per cell): 8.52

```
6
Lattice="5.1536 0.0000 0.0000 0.0000 5.1536 0.0000 0.0000 0.0000 7.8947" Properties=species:S:1:pos:R:3 pbc="T T T"
Cs 0.0000 0.0000 0.0000
Np 0.0000 2.5768 3.9473
Np 2.5768 0.0000 3.9473
Se 2.5768 2.5768 2.2111
Se 2.5768 2.5768 5.6835
S 0.0000 0.0000 3.9473
```


Record 3
A geometry-optimized BaFeRh structure, computed with GGA-PBE.

Relative energy among the computed polymorphs (meV per atom): 98
Energy of formation from the pure elements (eV/atom): 0.274
Total magnetization (Bohr magnetons per cell): 3.13

```
3
Lattice="-1.7118 1.7655 5.7172 1.7118 -1.7655 5.7172 1.7118 1.7655 -5.7172" Properties=species:S:1:pos:R:3 pbc="T T T"
Ba 0.0000 0.0000 0.0000
Fe 0.0000 0.0000 3.1309
Rh 0.0000 0.0000 8.2837
```


Record 4
A geometry-optimized Mg2TcOs structure, computed with GGA-PBE.

Relative energy among the computed polymorphs (meV per atom): 225
Energy of formation from the pure elements (eV/atom): 0.242
Total magnetization (Bohr magnetons per cell): 0.00

```
4
Lattice="-1.5377 2.3117 4.6071 1.5377 -2.3117 4.6071 1.5377 2.3117 -4.6071" Properties=species:S:1:pos:R:3 pbc="T T T"
Mg 0.0000 0.0000 0.0000
Mg 0.0000 2.3117 2.0310
Tc 0.0000 0.0000 4.2657
Os 1.5377 0.0000 2.3114
```


Record 5
A geometry-optimized PW structure, computed with GGA-PBE.

Energy of formation from the pure elements (eV/atom): 0.575
Total magnetization (Bohr magnetons per cell): 0.00

```
8
Lattice="4.3439 0.0000 0.0000 -2.1720 3.7619 0.0000 0.0000 0.0000 7.4475" Properties=species:S:1:pos:R:3 pbc="T T T"
P 0.0000 0.0000 1.8619
P 0.0000 0.0000 5.5856
P 0.0000 2.5080 1.8619
P 2.1720 1.2540 5.5856
W 0.0000 2.5080 4.3166
W 0.0000 2.5080 6.8546
W 2.1720 1.2540 0.5928
W 2.1720 1.2540 3.1309
```


Record 6
A geometry-optimized GdLuTcHg structure, computed with GGA-PBE.

Energy of formation from the pure elements (eV/atom): -0.155
Total magnetization (Bohr magnetons per cell): 7.14

```
4
Lattice="0.0000 3.5432 3.5432 3.5432 0.0000 3.5432 3.5432 3.5432 0.0000" Properties=species:S:1:pos:R:3 pbc="T T T"
Gd 0.0000 0.0000 0.0000
Lu 3.5432 3.5432 3.5432
Tc 1.7716 1.7716 1.7716
Hg 5.3147 5.3147 5.3147
```


Record 7
A geometry-optimized CaZrTeN2 structure, computed with GGA-PBE.

Relative energy among the computed polymorphs (meV per atom): 1371
E_form (uncorrected) (eV per atom): 1.062
Total magnetization (Bohr magnetons per cell): 2.18

```
5
Lattice="4.3776 0.0000 0.0000 0.0000 4.3776 0.0000 0.0000 0.0000 5.8003" Properties=species:S:1:pos:R:3 pbc="T T T"
Ca 0.0000 0.0000 0.0000
Zr 2.1888 2.1888 2.9001
Te 0.0000 0.0000 2.9001
N 0.0000 2.1888 0.0000
N 2.1888 0.0000 0.0000
```


Record 8
A geometry-optimized La3SnB2Rh9 structure, computed with GGA-PBE.

Energy of formation from the pure elements (eV/atom): -0.590
Total magnetization (Bohr magnetons per cell): 0.00

```
15
Lattice="5.9238 0.0000 0.0000 -2.9619 5.1301 0.0000 0.0000 0.0000 8.8710" Properties=species:S:1:pos:R:3 pbc="T T T"
La 0.0000 0.0000 0.0000
La 0.0000 3.4201 5.7993
La 2.9619 1.7100 3.0717
Sn 0.0000 0.0000 4.4355
B 0.0000 3.4201 1.2652
B 2.9619 1.7100 7.6058
Rh -1.4809 2.5651 0.0000
Rh 0.0000 1.7012 2.4093
Rh -1.4886 4.2796 2.4093
Rh 1.4733 0.8506 6.4617
Rh 2.9619 0.0000 0.0000
Rh 1.4809 2.5651 0.0000
Rh 1.4886 4.2796 2.4093
Rh 4.4505 0.8506 6.4617
Rh 2.9619 3.4290 6.4617
```


Record 9
A geometry-optimized FeReMo2 structure, computed with GGA-PBE.

Relative energy among the computed polymorphs (meV per atom): 707
Energy of formation from the pure elements (eV/atom): 0.795
Total magnetization (Bohr magnetons per cell): 0.00

```
8
Lattice="-3.4746 3.4746 2.5390 3.4746 -3.4746 2.5390 3.4746 3.4746 -2.5390" Properties=species:S:1:pos:R:3 pbc="T T T"
Fe 0.0000 0.0000 0.0000
Fe 0.0000 3.4746 1.2695
Re 3.4746 0.0000 1.2695
Re 0.0000 0.0000 2.5390
Mo 5.2119 1.5563 -0.6347
Mo 1.5563 1.7373 0.6347
Mo -1.7373 1.9184 1.9042
Mo 1.9184 1.7373 3.1737
```


Record 10
A geometry-optimized LiMg3CdHg structure, computed with GGA-PBE.

Energy of formation from the pure elements (eV/atom): -0.163
Total magnetization (Bohr magnetons per cell): 0.00

```
12
Lattice="1.8796 -7.1432 0.0000 1.8796 7.1432 0.0000 0.0000 0.0000 9.3425" Properties=species:S:1:pos:R:3 pbc="T T T"
Li 1.8796 6.8820 7.0069
Li 1.8796 -6.8820 2.3356
Mg 1.8796 4.8151 4.7987
Mg 1.8796 4.8151 9.2150
Mg 1.8796 2.1350 7.0069
Mg 1.8796 -2.1350 2.3356
Mg 1.8796 -4.8151 0.1275
Mg 1.8796 -4.8151 4.5438
Cd 1.8796 0.0000 0.0000
Cd 1.8796 0.0000 4.6712
Hg 1.8796 2.7309 2.3356
Hg 1.8796 -2.7309 7.0069
```


Record 11
A geometry-optimized Rb2Tl2Pb3 structure, computed with GGA-PBE.

Relative energy among the computed polymorphs (meV per atom): 30
Energy of formation from the pure elements (eV/atom): -0.056
Total magnetization (Bohr magnetons per cell): 0.00

```
7
Lattice="6.5757 -2.4013 0.0000 6.5757 2.4013 0.0000 -1.2991 0.0000 8.5655" Properties=species:S:1:pos:R:3 pbc="T T T"
Rb 1.3063 0.0000 2.9078
Rb 10.5460 0.0000 5.6577
Tl 4.9832 0.0000 2.8322
Tl 6.8691 0.0000 5.7332
Pb 1.1235 0.0000 7.8386
Pb 6.5757 0.0000 0.0000
Pb 10.7288 0.0000 0.7269
```


Record 12
A geometry-optimized Li2Pm3Hg6 structure, computed with GGA-PBE.

Energy of formation from the pure elements (eV/atom): -0.321
Total magnetization (Bohr magnetons per cell): 0.00

```
11
Lattice="-2.3637 2.3637 12.1931 2.3637 -2.3637 12.1931 2.3637 2.3637 -12.1931" Properties=species:S:1:pos:R:3 pbc="T T T"
Li 0.0000 0.0000 1.2507
Li 0.0000 0.0000 23.1355
Pm 0.0000 0.0000 7.4802
Pm 0.0000 0.0000 12.1931
Pm 0.0000 0.0000 16.9061
Hg 2.3637 0.0000 2.3436
Hg 0.0000 0.0000 4.4151
Hg 2.3637 0.0000 9.8495
Hg 0.0000 2.3637 2.3436
Hg 0.0000 0.0000 19.9711
Hg 0.0000 2.3637 9.8495
```


no.,total energy (eV per cell)
1,-23.07
2,-43.98
3,-16.92
4,-23.82
5,-68.85
6,-29.89
7,-25.03
8,-107.16
9,-78.79
10,-17.79
11,-18.19
12,-23.42